(1)
## Tb7MnI12 (SCAN)

Data for a PBEsol-optimized structure of Tb7MnI12.

Geometry as CIF:
```
data_Tb7MnI12
_symmetry_space_group_name_H-M 'P 1'
_symmetry_Int_Tables_number 1
_cell_length_a 9.496
_cell_length_b 9.496
_cell_length_c 9.496
_cell_angle_alpha 107.13
_cell_angle_beta 107.13
_cell_angle_gamma 107.13
loop_
_symmetry_equiv_pos_as_xyz
'x,y,z'
loop_
_atom_site_label
_atom_site_fract_x
_atom_site_fract_y
_atom_site_fract_z
Tb1 0.703 0.974 0.905
Tb2 0.905 0.703 0.974
Tb3 0.974 0.905 0.703
Tb4 0.297 0.026 0.095
Tb5 0.095 0.297 0.026
Tb6 0.026 0.095 0.297
Tb7 0.500 0.500 0.500
Mn1 0.000 0.000 0.000
I1 0.320 0.925 0.769
I2 0.769 0.320 0.925
I3 0.925 0.769 0.320
I4 0.680 0.075 0.231
I5 0.231 0.680 0.075
I6 0.075 0.231 0.680
I7 0.611 0.844 0.531
I8 0.531 0.611 0.844
I9 0.844 0.531 0.611
I10 0.389 0.156 0.469
I11 0.469 0.389 0.156
I12 0.156 0.469 0.389
```

DOS at the Fermi energy = 6.104 states/eV per cell
crystal system = trigonal
symmetry = R-3 (148)
E_tot = -811.77 eV/f.u.
M_tot = 2.03 μB per formula unit
E_form (uncorrected) = -1.264 eV per atom

***

(2)
## TlFeAs2 (SCAN)

Data for a PBEsol-optimized structure of TlFeAs2.

Geometry as CIF:
```
data_TlFeAs2
_symmetry_space_group_name_H-M 'P 1'
_symmetry_Int_Tables_number 1
_cell_length_a 3.168
_cell_length_b 3.167
_cell_length_c 7.453
_cell_angle_alpha 90.00
_cell_angle_beta 90.00
_cell_angle_gamma 90.00
loop_
_symmetry_equiv_pos_as_xyz
'x,y,z'
loop_
_atom_site_label
_atom_site_fract_x
_atom_site_fract_y
_atom_site_fract_z
As1 0.000 0.000 0.071
As2 0.500 0.500 0.303
Fe1 0.000 0.000 0.409
Tl1 0.500 0.500 0.717
```

DOS at the Fermi energy = 2.436 states/eV per cell
crystal system = tetragonal
symmetry = P4mm (99)
E_tot = -129.69 eV/f.u.
M_tot = 1.75 μB per formula unit
formation energy from the elements = 1.180 eV per formula unit

***

(3)
## CaOs2W (SCAN)

Data for a PBEsol-optimized structure of CaOs2W.

Geometry as CIF:
```
data_CaOs2W
_symmetry_space_group_name_H-M 'P 1'
_symmetry_Int_Tables_number 1
_cell_length_a 2.752
_cell_length_b 3.845
_cell_length_c 6.792
_cell_angle_alpha 90.00
_cell_angle_beta 90.00
_cell_angle_gamma 90.00
loop_
_symmetry_equiv_pos_as_xyz
'x,y,z'
loop_
_atom_site_label
_atom_site_fract_x
_atom_site_fract_y
_atom_site_fract_z
Ca1 0.500 0.500 0.769
Os1 0.000 0.000 0.050
Os2 0.500 0.500 0.255
W1 0.000 0.000 0.426
```

DOS at the Fermi energy = 3.865 states/eV per cell
crystal system = orthorhombic
symmetry = Pmm2 (25)
E_tot = -220.51 eV/f.u.
M_tot = 0.00 μB per formula unit
formation energy from the elements = 2.600 eV per formula unit

***

(4)
## Mn4Ru5 (SCAN)

Data for a PBEsol-optimized structure of Mn4Ru5.

Geometry as CIF:
```
data_Mn4Ru5
_symmetry_space_group_name_H-M 'P 1'
_symmetry_Int_Tables_number 1
_cell_length_a 3.689
_cell_length_b 5.814
_cell_length_c 5.814
_cell_angle_alpha 84.22
_cell_angle_beta 71.51
_cell_angle_gamma 71.51
loop_
_symmetry_equiv_pos_as_xyz
'x,y,z'
loop_
_atom_site_label
_atom_site_fract_x
_atom_site_fract_y
_atom_site_fract_z
Mn1 0.000 0.330 0.670
Mn2 0.000 0.670 0.330
Mn3 0.330 0.670 0.670
Mn4 0.670 0.330 0.330
Ru1 0.000 0.000 0.000
Ru2 0.332 0.000 0.337
Ru3 0.332 0.337 0.000
Ru4 0.668 0.663 0.000
Ru5 0.668 0.000 0.663
```

DOS at the Fermi energy = 7.838 states/eV per cell
crystal system = tetragonal
symmetry = I4/mmm (139)
E_tot = -247.25 eV/f.u.
M_tot = 8.26 μB per formula unit
formation energy from the elements = -0.102 eV per formula unit

***

(5)
## TbTaTiO6 (SCAN)

Data for a PBEsol-optimized structure of TbTaTiO6.

Geometry as CIF:
```
data_TbTaTiO6
_symmetry_space_group_name_H-M 'P 1'
_symmetry_Int_Tables_number 1
_cell_length_a 5.181
_cell_length_b 7.374
_cell_length_c 10.970
_cell_angle_alpha 90.00
_cell_angle_beta 90.00
_cell_angle_gamma 90.00
loop_
_symmetry_equiv_pos_as_xyz
'x,y,z'
loop_
_atom_site_label
_atom_site_fract_x
_atom_site_fract_y
_atom_site_fract_z
Tb1 0.456 0.749 0.955
Tb2 0.044 0.749 0.455
Tb3 0.544 0.249 0.045
Tb4 0.956 0.249 0.545
Ta1 0.459 0.507 0.644
Ta2 0.541 0.007 0.356
Ta3 0.959 0.007 0.856
Ta4 0.041 0.507 0.144
Ti1 0.039 0.992 0.141
Ti2 0.961 0.492 0.859
Ti3 0.539 0.492 0.359
Ti4 0.461 0.992 0.641
O1 0.242 0.043 0.972
O2 0.263 0.458 0.476
O3 0.758 0.543 0.028
O4 0.737 0.958 0.524
O5 0.763 0.958 0.024
O6 0.742 0.543 0.528
O7 0.237 0.458 0.976
O8 0.258 0.043 0.472
O9 0.177 0.753 0.117
O10 0.323 0.753 0.617
O11 0.823 0.253 0.883
O12 0.677 0.253 0.383
O13 0.619 0.567 0.794
O14 0.885 0.933 0.289
O15 0.381 0.067 0.206
O16 0.115 0.433 0.711
O17 0.385 0.433 0.211
O18 0.119 0.067 0.706
O19 0.615 0.933 0.789
O20 0.881 0.567 0.294
O21 0.060 0.748 0.856
O22 0.440 0.748 0.356
O23 0.940 0.248 0.144
O24 0.560 0.248 0.644
```

DOS at the Fermi energy = 0.000 states/eV per cell
crystal system = orthorhombic
symmetry = Pna2_1 (33)
E_tot = -198.15 eV/f.u.
M_tot = 0.00 μB per formula unit
E_form (uncorrected) = -3.488 eV per atom

***

(6)
## CsW3Br7 (SCAN)

Data for a PBEsol-optimized structure of CsW3Br7.

Geometry as CIF:
```
data_CsW3Br7
_symmetry_space_group_name_H-M 'P 1'
_symmetry_Int_Tables_number 1
_cell_length_a 10.094
_cell_length_b 10.094
_cell_length_c 15.375
_cell_angle_alpha 90.00
_cell_angle_beta 90.00
_cell_angle_gamma 120.00
loop_
_symmetry_equiv_pos_as_xyz
'x,y,z'
loop_
_atom_site_label
_atom_site_fract_x
_atom_site_fract_y
_atom_site_fract_z
Cs1 0.000 0.000 0.500
Cs2 0.000 0.000 0.000
Cs3 0.667 0.333 0.250
Cs4 0.333 0.667 0.750
W1 0.335 0.517 0.320
W2 0.665 0.483 0.680
W3 0.182 0.665 0.320
W4 0.335 0.818 0.180
W5 0.818 0.335 0.680
W6 0.665 0.182 0.820
W7 0.483 0.818 0.320
W8 0.182 0.517 0.180
W9 0.517 0.182 0.680
W10 0.818 0.483 0.820
W11 0.483 0.665 0.180
W12 0.517 0.335 0.820
Br1 0.327 0.364 0.178
Br2 0.673 0.636 0.822
Br3 0.037 0.673 0.178
Br4 0.327 0.963 0.322
Br5 0.963 0.327 0.822
Br6 0.673 0.037 0.678
Br7 0.636 0.963 0.178
Br8 0.037 0.364 0.322
Br9 0.364 0.037 0.822
Br10 0.963 0.636 0.678
Br11 0.636 0.673 0.322
Br12 0.364 0.327 0.678
Br13 0.333 0.667 0.457
Br14 0.667 0.333 0.543
Br15 0.333 0.667 0.043
Br16 0.667 0.333 0.957
Br17 0.692 0.040 0.411
Br18 0.308 0.960 0.589
Br19 0.349 0.308 0.411
Br20 0.692 0.651 0.089
Br21 0.651 0.692 0.589
Br22 0.308 0.349 0.911
Br23 0.960 0.651 0.411
Br24 0.349 0.040 0.089
Br25 0.040 0.349 0.589
Br26 0.651 0.960 0.911
Br27 0.960 0.308 0.089
Br28 0.040 0.692 0.911
```

DOS at the Fermi energy = 0.000 states/eV per cell
crystal system = trigonal
symmetry = P-31c (163)
E_tot = -391.69 eV/f.u.
M_tot = 0.00 μB per formula unit
E_form (uncorrected) = -0.781 eV per atom

***

(7)
## SiAs2CO (SCAN)

Data for a PBEsol-optimized structure of SiAs2CO.

Geometry as CIF:
```
data_SiAs2CO
_symmetry_space_group_name_H-M 'P 1'
_symmetry_Int_Tables_number 1
_cell_length_a 3.431
_cell_length_b 4.737
_cell_length_c 4.737
_cell_angle_alpha 90.00
_cell_angle_beta 90.00
_cell_angle_gamma 90.00
loop_
_symmetry_equiv_pos_as_xyz
'x,y,z'
loop_
_atom_site_label
_atom_site_fract_x
_atom_site_fract_y
_atom_site_fract_z
C1 0.500 0.000 0.000
Si1 0.000 0.000 0.000
As1 0.000 0.000 0.500
As2 0.000 0.500 0.000
O1 0.500 0.500 0.500
```

DOS at the Fermi energy = 2.538 states/eV per cell
crystal system = tetragonal
symmetry = P4/mmm (123)
E_tot = -60.22 eV/f.u.
M_tot = 0.01 μB per formula unit
E_form (uncorrected) = 1.301 eV per atom

***

(8)
## K2SiAs (SCAN)

Data for a PBEsol-optimized structure of K2SiAs.

Geometry as CIF:
```
data_K2SiAs
_symmetry_space_group_name_H-M 'P 1'
_symmetry_Int_Tables_number 1
_cell_length_a 3.759
_cell_length_b 5.463
_cell_length_c 6.386
_cell_angle_alpha 115.32
_cell_angle_beta 107.12
_cell_angle_gamma 90.00
loop_
_symmetry_equiv_pos_as_xyz
'x,y,z'
loop_
_atom_site_label
_atom_site_fract_x
_atom_site_fract_y
_atom_site_fract_z
As1 0.194 0.694 0.388
Si1 0.557 0.557 0.115
K1 0.972 0.972 0.944
K2 0.777 0.277 0.554
```

DOS at the Fermi energy = 1.596 states/eV per cell
crystal system = orthorhombic
symmetry = Imm2 (44)
E_tot = -48.06 eV/f.u.
M_tot = 0.00 μB per formula unit
E_form (uncorrected) = -0.298 eV per atom

***

(9)
## KGa2FeSn (SCAN)

Data for a PBEsol-optimized structure of KGa2FeSn.

Geometry as CIF:
```
data_KGa2FeSn
_symmetry_space_group_name_H-M 'P 1'
_symmetry_Int_Tables_number 1
_cell_length_a 4.677
_cell_length_b 4.677
_cell_length_c 4.868
_cell_angle_alpha 90.00
_cell_angle_beta 90.00
_cell_angle_gamma 90.00
loop_
_symmetry_equiv_pos_as_xyz
'x,y,z'
loop_
_atom_site_label
_atom_site_fract_x
_atom_site_fract_y
_atom_site_fract_z
K1 0.500 0.500 0.500
Sn1 0.000 0.000 0.500
Ga1 0.000 0.500 0.000
Ga2 0.500 0.000 0.000
Fe1 0.000 0.000 0.000
```

DOS at the Fermi energy = 1.651 states/eV per cell
crystal system = tetragonal
symmetry = P4/mmm (123)
E_tot = -95.41 eV/f.u.
M_tot = 0.99 μB per formula unit
formation energy from the elements = -0.334 eV per formula unit

***

(10)
## HgPt3 (SCAN)

Data for a PBEsol-optimized structure of HgPt3.

Geometry as CIF:
```
data_HgPt3
_symmetry_space_group_name_H-M 'P 1'
_symmetry_Int_Tables_number 1
_cell_length_a 4.896
_cell_length_b 5.609
_cell_length_c 9.360
_cell_angle_alpha 90.00
_cell_angle_beta 90.00
_cell_angle_gamma 90.00
loop_
_symmetry_equiv_pos_as_xyz
'x,y,z'
loop_
_atom_site_label
_atom_site_fract_x
_atom_site_fract_y
_atom_site_fract_z
Hg1 0.419 0.383 0.250
Hg2 0.081 0.883 0.750
Hg3 0.919 0.117 0.250
Hg4 0.581 0.617 0.750
Pt1 0.590 0.122 0.750
Pt2 0.240 0.629 0.003
Pt3 0.240 0.629 0.497
Pt4 0.260 0.129 0.503
Pt5 0.260 0.129 0.997
Pt6 0.910 0.622 0.250
Pt7 0.090 0.378 0.750
Pt8 0.740 0.871 0.003
Pt9 0.740 0.871 0.497
Pt10 0.760 0.371 0.503
Pt11 0.760 0.371 0.997
Pt12 0.410 0.878 0.250
```

DOS at the Fermi energy = 12.666 states/eV per cell
crystal system = orthorhombic
symmetry = Pnma (62)
E_tot = -278.27 eV/f.u.
M_tot = 0.00 μB per formula unit
formation energy from the elements = 0.478 eV per formula unit

***

(11)
## Cd5Mo2P8O28 (SCAN)

Data for a PBEsol-optimized structure of Cd5Mo2P8O28.

Geometry as CIF:
```
data_Cd5Mo2P8O28
_symmetry_space_group_name_H-M 'P 1'
_symmetry_Int_Tables_number 1
_cell_length_a 6.680
_cell_length_b 6.680
_cell_length_c 24.505
_cell_angle_alpha 95.20
_cell_angle_beta 95.20
_cell_angle_gamma 96.88
loop_
_symmetry_equiv_pos_as_xyz
'x,y,z'
loop_
_atom_site_label
_atom_site_fract_x
_atom_site_fract_y
_atom_site_fract_z
Cd1 0.317 0.298 0.008
Cd2 0.683 0.702 0.992
Cd3 0.800 0.200 0.750
Cd4 0.200 0.800 0.250
Cd5 0.885 0.587 0.862
Cd6 0.115 0.413 0.138
Cd7 0.587 0.885 0.362
Cd8 0.702 0.683 0.492
Cd9 0.298 0.317 0.508
Cd10 0.413 0.115 0.638
Mo1 0.977 0.280 0.383
Mo2 0.720 0.023 0.117
Mo3 0.280 0.977 0.883
Mo4 0.023 0.720 0.617
P1 0.693 0.796 0.231
P2 0.307 0.204 0.769
P3 0.823 0.233 0.008
P4 0.233 0.823 0.508
P5 0.194 0.916 0.113
P6 0.478 0.382 0.374
P7 0.522 0.618 0.626
P8 0.204 0.307 0.269
P9 0.916 0.194 0.613
P10 0.767 0.177 0.492
P11 0.382 0.478 0.874
P12 0.806 0.084 0.887
P13 0.618 0.522 0.126
P14 0.796 0.693 0.731
P15 0.084 0.806 0.387
P16 0.177 0.767 0.992
O1 0.043 0.069 0.125
O2 0.104 0.814 0.052
O3 0.283 0.023 0.803
O4 0.334 0.019 0.541
O5 0.883 0.740 0.259
O6 0.354 0.759 0.629
O7 0.294 0.289 0.402
O8 0.592 0.566 0.901
O9 0.977 0.717 0.697
O10 0.434 0.408 0.599
O11 0.589 0.601 0.188
O12 0.023 0.283 0.303
O13 0.366 0.653 0.504
O14 0.016 0.406 0.607
O15 0.971 0.260 0.471
O16 0.601 0.589 0.688
O17 0.465 0.180 0.728
O18 0.029 0.740 0.529
O19 0.957 0.931 0.875
O20 0.241 0.646 0.871
O21 0.634 0.347 0.496
O22 0.740 0.883 0.759
O23 0.931 0.957 0.375
O24 0.646 0.241 0.371
O25 0.069 0.043 0.625
O26 0.981 0.666 0.959
O27 0.706 0.711 0.598
O28 0.408 0.434 0.099
O29 0.186 0.896 0.448
O30 0.535 0.820 0.272
O31 0.289 0.294 0.902
O32 0.666 0.981 0.459
O33 0.019 0.334 0.041
O34 0.250 0.823 0.349
O35 0.594 0.984 0.893
O36 0.814 0.104 0.552
O37 0.399 0.411 0.312
O38 0.896 0.186 0.948
O39 0.260 0.117 0.241
O40 0.177 0.750 0.151
O41 0.653 0.366 0.004
O42 0.717 0.977 0.197
O43 0.823 0.250 0.849
O44 0.711 0.706 0.098
O45 0.750 0.177 0.651
O46 0.406 0.016 0.107
O47 0.759 0.354 0.129
O48 0.740 0.029 0.029
O49 0.117 0.260 0.741
O50 0.347 0.634 0.996
O51 0.411 0.399 0.812
O52 0.984 0.594 0.393
O53 0.820 0.535 0.772
O54 0.180 0.465 0.228
O55 0.566 0.592 0.401
O56 0.260 0.971 0.971
```

DOS at the Fermi energy = 0.000 states/eV per cell
crystal system = monoclinic
symmetry = C2/c (15)
E_tot = -573.57 eV/f.u.
M_tot = 6.00 μB per formula unit
E_form (uncorrected) = -2.188 eV per atom

***

(12)
## KNa2HN (SCAN)

Data for a PBEsol-optimized structure of KNa2HN.

Geometry as CIF:
```
data_KNa2HN
_symmetry_space_group_name_H-M 'P 1'
_symmetry_Int_Tables_number 1
_cell_length_a 4.490
_cell_length_b 4.490
_cell_length_c 7.470
_cell_angle_alpha 90.00
_cell_angle_beta 90.00
_cell_angle_gamma 90.00
loop_
_symmetry_equiv_pos_as_xyz
'x,y,z'
loop_
_atom_site_label
_atom_site_fract_x
_atom_site_fract_y
_atom_site_fract_z
Na1 0.000 0.500 0.000
Na2 0.500 0.000 0.000
K1 0.500 0.500 0.500
H1 0.000 0.000 0.500
N1 0.000 0.000 0.000
```

DOS at the Fermi energy = 0.147 states/eV per cell
crystal system = tetragonal
symmetry = P4/mmm (123)
E_tot = -27.30 eV/f.u.
M_tot = 1.00 μB per formula unit